Compound: Si2GeTe
Source: the Alexandria database
Functional: GGA-PBE
Structure: optimized geometry

CIF file:
```
data_Si2GeTe
_space_group_name_H-M_alt 'F m -3 m'
_space_group_IT_number 225
_space_group_name_Hall '-F 4 2 3'
_cell_length_a 6.8052
_cell_length_b 6.8052
_cell_length_c 6.8052
_cell_angle_alpha 90.00
_cell_angle_beta 90.00
_cell_angle_gamma 90.00
loop_
_atom_site_label
_atom_site_fract_x
_atom_site_fract_y
_atom_site_fract_z
Si1 0.2500 0.2500 0.2500
Ge1 0.0000 0.0000 0.0000
Te1 0.0000 0.0000 0.5000
```

Calculated values
* crystal system: cubic
* N(E_F): 0.481 states/eV/atom
* formation energy from raw total energies: 234 kJ/mol of formula units
* offset from the most stable computed form: 19.9 kJ per mole of atoms


Compound: SiGeTe2
Source: the Alexandria database
Functional: GGA-PBE
Structure: optimized geometry

CIF file:
```
data_SiGeTe2
_space_group_name_H-M_alt 'R -3 m'
_space_group_IT_number 166
_space_group_name_Hall '-R 3 2"'
_cell_length_a 3.2147
_cell_length_b 3.2147
_cell_length_c 33.1627
_cell_angle_alpha 90.00
_cell_angle_beta 90.00
_cell_angle_gamma 120.00
loop_
_atom_site_label
_atom_site_fract_x
_atom_site_fract_y
_atom_site_fract_z
Si1 0.0000 0.0000 0.0000
Ge1 0.0000 0.0000 0.5000
Te1 0.0000 0.0000 0.0845
```

Calculated values
* crystal system: trigonal
* N(E_F): 0.768 states/eV/atom
* formation energy from raw total energies: 213 kJ/mol of formula units
* offset from the most stable computed form: 47.8 kJ per mole of atoms


Compound: SiGeTe2
Source: the Alexandria database
Functional: GGA-PBE
Structure: optimized geometry

CIF file:
```
data_SiGeTe2
_space_group_name_H-M_alt 'R -3 m'
_space_group_IT_number 166
_space_group_name_Hall '-R 3 2"'
_cell_length_a 3.8285
_cell_length_b 3.8285
_cell_length_c 27.1215
_cell_angle_alpha 90.00
_cell_angle_beta 90.00
_cell_angle_gamma 120.00
loop_
_atom_site_label
_atom_site_fract_x
_atom_site_fract_y
_atom_site_fract_z
Si1 0.0000 0.0000 0.0000
Ge1 0.0000 0.0000 0.5000
Te1 0.0000 0.0000 0.3924
```

Calculated values
* crystal system: trigonal
* N(E_F): 0.441 states/eV/atom
* formation energy from raw total energies: 129 kJ/mol of formula units
* offset from the most stable computed form: 26.6 kJ per mole of atoms


Compound: Si2GeTe6
Source: the Alexandria database
Functional: GGA-PBE
Structure: optimized geometry

CIF file:
```
data_Si2GeTe6
_space_group_name_H-M_alt 'C 1 2/c 1'
_space_group_IT_number 15
_cell_length_a 13.1103
_cell_length_b 12.7716
_cell_length_c 7.1929
_cell_angle_alpha 90.00
_cell_angle_beta 103.22
_cell_angle_gamma 90.00
loop_
_space_group_symop_operation_xyz
'x,y,z'
'-x,-y,-z'
'-x,y,-z+1/2'
'x,-y,z+1/2'
'x+1/2,y+1/2,z'
'-x+1/2,-y+1/2,-z'
'-x+1/2,y+1/2,-z+1/2'
'x+1/2,-y+1/2,z+1/2'
loop_
_atom_site_label
_atom_site_fract_x
_atom_site_fract_y
_atom_site_fract_z
Si1 0.1897 0.0584 0.2234
Ge1 0.0000 0.3997 0.2500
Te1 0.1113 0.4277 0.6649
Te2 0.1243 0.1080 0.5233
Te3 0.1433 0.2195 0.0034
```

Calculated values
* crystal system: monoclinic
* formation energy from raw total energies: 29 kJ/mol of formula units


Compound: SiGeTe2
Source: the Alexandria database
Functional: GGA-PBE
Structure: optimized geometry

CIF file:
```
data_SiGeTe2
_space_group_name_H-M_alt 'F m -3 m'
_space_group_IT_number 225
_space_group_name_Hall '-F 4 2 3'
_cell_length_a 7.2624
_cell_length_b 7.2624
_cell_length_c 7.2624
_cell_angle_alpha 90.00
_cell_angle_beta 90.00
_cell_angle_gamma 90.00
loop_
_atom_site_label
_atom_site_fract_x
_atom_site_fract_y
_atom_site_fract_z
Si1 0.0000 0.0000 0.0000
Ge1 0.0000 0.0000 0.5000
Te1 0.2500 0.2500 0.2500
```

Calculated values
* crystal system: cubic
* N(E_F): 0.601 states/eV/atom
* formation energy from raw total energies: 161 kJ/mol of formula units
* offset from the most stable computed form: 34.8 kJ per mole of atoms


Compound: SiGeTe4
Source: the Alexandria database
Functional: GGA-PBE
Structure: optimized geometry

CIF file:
```
data_SiGeTe4
_space_group_name_H-M_alt 'I 41 m d'
_space_group_IT_number 109
_space_group_name_Hall 'I 4bw -2'
_cell_length_a 9.2859
_cell_length_b 9.2859
_cell_length_c 8.3467
_cell_angle_alpha 90.00
_cell_angle_beta 90.00
_cell_angle_gamma 90.00
loop_
_atom_site_label
_atom_site_fract_x
_atom_site_fract_y
_atom_site_fract_z
Si1 0.0000 0.0000 0.0000
Ge1 0.0000 0.0000 0.5008
Te1 0.0000 0.1960 0.7630
Te2 0.0000 0.2017 0.2391
```

Calculated values
* crystal system: tetragonal
* N(E_F): 0.792 states/eV/atom
* formation energy from raw total energies: 137 kJ/mol of formula units


Compound: Si2GeTe
Source: the Alexandria database
Functional: GGA-PBE
Structure: optimized geometry

CIF file:
```
data_Si2GeTe
_space_group_name_H-M_alt 'I -4 2 d'
_space_group_IT_number 122
_space_group_name_Hall 'I -4 2bw'
_cell_length_a 6.5037
_cell_length_b 6.5037
_cell_length_c 9.3622
_cell_angle_alpha 90.00
_cell_angle_beta 90.00
_cell_angle_gamma 90.00
loop_
_atom_site_label
_atom_site_fract_x
_atom_site_fract_y
_atom_site_fract_z
Si1 0.2103 0.2500 0.1250
Ge1 0.0000 0.0000 0.0000
Te1 0.0000 0.0000 0.5000
```

Calculated values
* crystal system: tetragonal
* N(E_F): 0.568 states/eV/atom
* formation energy from raw total energies: 154 kJ/mol of formula units
* offset from the most stable computed form: 0.0 kJ per mole of atoms


Compound: SiGeTe2
Source: the Alexandria database
Functional: GGA-PBE
Structure: optimized geometry

CIF file:
```
data_SiGeTe2
_space_group_name_H-M_alt 'I -4 2 d'
_space_group_IT_number 122
_space_group_name_Hall 'I -4 2bw'
_cell_length_a 7.4265
_cell_length_b 7.4265
_cell_length_c 8.4656
_cell_angle_alpha 90.00
_cell_angle_beta 90.00
_cell_angle_gamma 90.00
loop_
_atom_site_label
_atom_site_fract_x
_atom_site_fract_y
_atom_site_fract_z
Si1 0.0000 0.0000 0.0000
Ge1 0.0000 0.0000 0.5000
Te1 0.2363 0.2500 0.1250
```

Calculated values
* crystal system: tetragonal
* N(E_F): 0.494 states/eV/atom
* formation energy from raw total energies: 127 kJ/mol of formula units
* offset from the most stable computed form: 26.2 kJ per mole of atoms


Compound: SiGe3Te
Source: the Alexandria database
Functional: GGA-PBE
Structure: optimized geometry

CIF file:
```
data_SiGe3Te
_space_group_name_H-M_alt 'P m -3 m'
_space_group_IT_number 221
_space_group_name_Hall '-P 4 2 3'
_cell_length_a 4.8992
_cell_length_b 4.8992
_cell_length_c 4.8992
_cell_angle_alpha 90.00
_cell_angle_beta 90.00
_cell_angle_gamma 90.00
loop_
_atom_site_label
_atom_site_fract_x
_atom_site_fract_y
_atom_site_fract_z
Si1 0.0000 0.0000 0.0000
Ge1 0.0000 0.0000 0.5000
Te1 0.5000 0.5000 0.5000
```

Calculated values
* crystal system: cubic
* N(E_F): 0.606 states/eV/atom
* formation energy from raw total energies: 255 kJ/mol of formula units
* offset from the most stable computed form: 0.0 kJ per mole of atoms


Compound: SiGe3Te
Source: the Alexandria database
Functional: GGA-PBE
Structure: optimized geometry

CIF file:
```
data_SiGe3Te
_space_group_name_H-M_alt 'P m -3 m'
_space_group_IT_number 221
_space_group_name_Hall '-P 4 2 3'
_cell_length_a 5.3773
_cell_length_b 5.3773
_cell_length_c 5.3773
_cell_angle_alpha 90.00
_cell_angle_beta 90.00
_cell_angle_gamma 90.00
loop_
_atom_site_label
_atom_site_fract_x
_atom_site_fract_y
_atom_site_fract_z
Si1 0.0000 0.0000 0.0000
Ge1 0.0000 0.5000 0.5000
Te1 0.5000 0.5000 0.5000
```

Calculated values
* crystal system: cubic
* N(E_F): 0.482 states/eV/atom
* formation energy from raw total energies: 609 kJ/mol of formula units
* offset from the most stable computed form: 70.6 kJ per mole of atoms


Compound: SiGeTe2
Source: the Alexandria database
Functional: GGA-PBE
Structure: optimized geometry

CIF file:
```
data_SiGeTe2
_space_group_name_H-M_alt 'P 1'
_space_group_IT_number 1
_cell_length_a 4.1569
_cell_length_b 4.2830
_cell_length_c 7.2239
_cell_angle_alpha 106.10
_cell_angle_beta 90.03
_cell_angle_gamma 118.95
loop_
_space_group_symop_operation_xyz
'x,y,z'
loop_
_atom_site_label
_atom_site_fract_x
_atom_site_fract_y
_atom_site_fract_z
Si1 0.0000 0.0000 0.0000
Ge1 0.5025 0.0046 0.4970
Te1 0.3017 0.6000 0.7749
Te2 0.7940 0.5844 0.2559
```

Calculated values
* crystal system: triclinic
* N(E_F): 0.017 states/eV/atom
* formation energy from raw total energies: 22 kJ/mol of formula units
* offset from the most stable computed form: 0.0 kJ per mole of atoms


Compound: SiGeTe
Source: the Alexandria database
Functional: GGA-PBE
Structure: optimized geometry

CIF file:
```
data_SiGeTe
_space_group_name_H-M_alt 'P 1 21/c 1'
_space_group_IT_number 14
_cell_length_a 5.7517
_cell_length_b 7.6322
_cell_length_c 7.3968
_cell_angle_alpha 90.00
_cell_angle_beta 103.40
_cell_angle_gamma 90.00
loop_
_space_group_symop_operation_xyz
'x,y,z'
'-x,-y,-z'
'-x,y+1/2,-z+1/2'
'x,-y+1/2,z+1/2'
loop_
_atom_site_label
_atom_site_fract_x
_atom_site_fract_y
_atom_site_fract_z
Si1 0.2007 0.1046 0.1810
Ge1 0.0948 0.1354 0.8401
Te1 0.3512 0.5916 0.1814
```

Calculated values
* crystal system: monoclinic
* formation energy from raw total energies: 40 kJ/mol of formula units